Entry 1:
LaMg6Ni6: relaxed, PBE-GGA.

Cell and atoms, written as extended XYZ:
```
13
Lattice="1.399 -2.892 4.019 4.296 -5.044 -1.831 5.755 2.319 2.959" Properties=species:S:1:pos:R:3 pbc="T T T"
Mg 9.056 -4.204 3.704
Mg 4.788 -2.558 -0.213
Mg 2.393 -1.413 1.444
Mg 5.262 -0.168 1.341
Mg 7.026 -2.784 2.139
Mg 4.423 -2.834 3.008
Ni 2.847 -3.968 1.094
Ni 5.333 -4.786 1.288
Ni 3.577 -0.287 3.489
Ni 2.148 -2.522 -0.916
Ni 2.877 1.159 1.480
Ni 6.116 -0.832 3.860
La 0.000 0.000 0.000
```

Results
**VASP energy**: -3.96 eV per atom
**Crystal system**: orthorhombic

***

Entry 2:
PuSiRh2: relaxed, PBE-GGA.

Cell and atoms, written as extended XYZ:
```
4
Lattice="2.994 0.000 0.000 1.497 2.593 0.000 1.497 0.864 8.710" Properties=species:S:1:pos:R:3 pbc="T T T"
Rh 1.497 0.864 6.035
Rh 4.491 2.593 2.675
Pu 0.000 0.000 0.000
Si 2.994 1.729 4.355
```

Results
**VASP energy**: -8.82 eV per atom
**Crystal system**: trigonal
**Formation energy without anion corrections**: -78.8 kJ/mol of formula units

***

Entry 3:
Na2MgHg2: relaxed, PBE-GGA.

Cell and atoms, written as extended XYZ:
```
10
Lattice="8.971 0.000 0.000 0.000 8.971 0.000 0.000 0.000 3.283" Properties=species:S:1:pos:R:3 pbc="T T T"
Na 7.828 5.628 0.000
Na 1.142 3.343 0.000
Na 5.628 1.142 0.000
Na 3.343 7.828 0.000
Hg 2.948 1.538 1.642
Hg 1.538 6.023 1.642
Hg 7.433 2.948 1.642
Hg 6.023 7.433 1.642
Mg 0.000 0.000 0.000
Mg 4.485 4.485 0.000
```

Results
**VASP energy**: -1.04 eV per atom
**Crystal system**: tetragonal

***

Entry 4:
TlIrCl: relaxed, PBE-GGA.

Cell and atoms, written as extended XYZ:
```
3
Lattice="8.362 0.119 -0.067 7.369 3.148 -0.061 0.993 -1.569 2.591" Properties=species:S:1:pos:R:3 pbc="T T T"
Tl 11.092 1.744 0.728
Ir 6.130 0.116 1.644
Cl 15.235 3.104 -0.036
```

Results
**VASP energy**: -3.82 eV per atom
**Crystal system**: orthorhombic
**Formation energy without anion corrections**: 155.8 kJ/mol of formula units